Record 1
Crystalline LiAsRh2 at its relaxed geometry, computed with GGA-PBEsol.

a b c (Å): 2.760 4.137 4.779
angles (deg): 90.00 91.92 90.00
Fractional coordinates of all 4 atoms:
Li (0.000, 0.000, 0.000)
As (0.500, 0.000, 0.500)
Rh (0.273, 0.500, 0.748)
Rh (0.727, 0.500, 0.252)

Results
- ΔH_f (0 K): -0.222 eV per atom
- Symmetry: P2/m, No. 10

---

Record 2
Crystalline Li2AsRh at its relaxed geometry, computed with GGA-PBEsol.

a b c (Å): 4.536 4.536 4.462
angles (deg): 108.09 108.09 39.17
Fractional coordinates of all 4 atoms:
Li (0.000, 0.000, 0.000)
Li (0.241, 0.241, 0.836)
As (0.493, 0.493, 0.468)
Rh (0.763, 0.763, 0.365)

Results
- ΔH_f (0 K): -0.504 eV per atom
- Symmetry: Cm, No. 8

---

Record 3
Crystalline LiAsRh at its relaxed geometry, computed with GGA-PBEsol.

a b c (Å): 4.561 4.561 4.561
angles (deg): 139.37 139.37 58.81
Fractional coordinates of all 3 atoms:
Li (0.000, 0.000, 0.000)
As (0.326, 0.326, 0.000)
Rh (0.677, 0.677, 0.000)

Results
- ΔH_f (0 K): -0.523 eV per atom
- Symmetry: I4mm, No. 107

---

Record 4
Crystalline LiAs2Rh at its relaxed geometry, computed with GGA-PBEsol.

a b c (Å): 2.841 4.057 5.406
angles (deg): 90.00 90.00 90.00
Fractional coordinates of all 4 atoms:
Li (0.000, 0.000, 0.000)
As (0.500, 0.500, 0.244)
As (0.500, 0.500, 0.756)
Rh (0.500, 0.000, 0.500)

Results
- ΔH_f (0 K): -0.356 eV per atom
- Excess energy over the best structure of this formula in the dataset: 0.000 eV/atom
- Symmetry: Pmmm, No. 47

---

Record 5
Crystalline LiAs2Rh at its relaxed geometry, computed with GGA-PBEsol.

a b c (Å): 7.959 7.959 7.959
angles (deg): 22.22 22.22 22.22
Fractional coordinates of all 4 atoms:
Li (0.000, 0.000, 0.000)
As (0.244, 0.244, 0.244)
As (0.756, 0.756, 0.756)
Rh (0.500, 0.500, 0.500)

Results
- ΔH_f (0 K): -0.352 eV per atom
- Excess energy over the best structure of this formula in the dataset: 0.005 eV/atom
- Symmetry: R-3m, No. 166

---

Record 6
Crystalline LiAsRhSe2 at its relaxed geometry, computed with GGA-PBEsol.

a b c (Å): 4.469 4.469 4.285
angles (deg): 90.00 90.00 90.00
Fractional coordinates of all 5 atoms:
Li (0.000, 0.000, 0.000)
As (0.000, 0.000, 0.500)
Rh (0.500, 0.500, 0.500)
Se (0.000, 0.500, 0.000)
Se (0.500, 0.000, 0.000)

Results
- Final energy: -19.95 eV for the cell shown
- Symmetry: P4/mmm, No. 123

---

Record 7
Crystalline LiAsRu2 at its relaxed geometry, computed with GGA-PBEsol.

a b c (Å): 4.936 4.936 4.936
angles (deg): 144.54 131.47 61.52
Fractional coordinates of all 4 atoms:
Li (0.000, 0.000, 0.000)
As (0.249, 0.749, 0.500)
Ru (0.484, 0.484, 0.000)
Ru (0.742, 0.242, 0.500)

Results
- ΔH_f (0 K): 0.030 eV per atom
- Symmetry: Imm2, No. 44

---

Record 8
Crystalline LiAsRu2 at its relaxed geometry, computed with GGA-PBEsol.

a b c (Å): 4.491 4.491 4.491
angles (deg): 129.82 129.82 73.70
Fractional coordinates of all 4 atoms:
Li (0.000, 0.000, 0.000)
As (0.250, 0.750, 0.500)
Ru (0.500, 0.500, 0.000)
Ru (0.750, 0.250, 0.500)

Results
- ΔH_f (0 K): 0.040 eV per atom
- Symmetry: I-4m2, No. 119

---

Record 9
Crystalline LiAsRu at its relaxed geometry, computed with GGA-PBEsol.

a b c (Å): 3.858 3.858 3.858
angles (deg): 60.00 60.00 60.00
Fractional coordinates of all 3 atoms:
Li (0.000, 0.000, 0.000)
As (0.250, 0.250, 0.250)
Ru (0.750, 0.750, 0.750)

Results
- ΔH_f (0 K): 0.355 eV per atom
- Symmetry: F-43m, No. 216

---

Record 10
Crystalline Li2As2Ru at its relaxed geometry, computed with GGA-PBEsol.

a b c (Å): 6.230 6.230 3.954
angles (deg): 90.00 90.00 90.00
Fractional coordinates of all 10 atoms:
Li (0.172, 0.328, 0.000)
Li (0.328, 0.828, 0.000)
Li (0.672, 0.172, 0.000)
Li (0.828, 0.672, 0.000)
As (0.139, 0.639, 0.500)
As (0.361, 0.139, 0.500)
As (0.639, 0.861, 0.500)
As (0.861, 0.361, 0.500)
Ru (0.000, 0.000, 0.500)
Ru (0.500, 0.500, 0.500)

Results
- ΔH_f (0 K): -0.458 eV per atom
- Symmetry: P4/mbm, No. 127

---

Record 11
Crystalline LiAsRu2 at its relaxed geometry, computed with GGA-PBEsol.

a b c (Å): 4.101 4.101 2.985
angles (deg): 90.00 90.00 90.00
Fractional coordinates of all 4 atoms:
Li (0.000, 0.000, 0.000)
As (0.500, 0.500, 0.000)
Ru (0.000, 0.500, 0.500)
Ru (0.500, 0.000, 0.500)

Results
- ΔH_f (0 K): -0.040 eV per atom
- Symmetry: P4/mmm, No. 123

---

Record 12
Crystalline LiAs2SeS at its relaxed geometry, computed with GGA-PBEsol.

a b c (Å): 4.606 4.606 4.285
angles (deg): 90.00 90.00 90.00
Fractional coordinates of all 5 atoms:
Li (0.000, 0.000, 0.000)
As (0.000, 0.500, 0.000)
As (0.500, 0.000, 0.000)
Se (0.000, 0.000, 0.500)
S (0.500, 0.500, 0.500)

Results
- Final energy: -17.27 eV for the cell shown
- Symmetry: P4/mmm, No. 123

---

Record 13
Crystalline Li2SbAs at its relaxed geometry, computed with GGA-PBEsol.

a b c (Å): 3.097 4.020 5.863
angles (deg): 90.00 90.00 90.00
Fractional coordinates of all 4 atoms:
Li (0.000, 0.000, 0.227)
Li (0.000, 0.000, 0.773)
Sb (0.500, 0.500, 0.500)
As (0.500, 0.500, 0.000)

Results
- Excess energy over the best structure of this formula in the dataset: 0.011 eV/atom
- Symmetry: Pmmm, No. 47

---

Record 14
Crystalline LiSbAs2 at its relaxed geometry, computed with GGA-PBEsol.

a b c (Å): 2.925 3.901 7.056
angles (deg): 90.00 90.00 90.00
Fractional coordinates of all 4 atoms:
Li (0.000, 0.000, 0.000)
Sb (0.500, 0.000, 0.500)
As (0.500, 0.500, 0.199)
As (0.500, 0.500, 0.801)

Results
- Final energy: -17.36 eV for the cell shown
- Symmetry: Pmmm, No. 47

---

Record 15
Crystalline Li2SbAs at its relaxed geometry, computed with GGA-PBEsol.

a b c (Å): 5.408 5.408 5.408
angles (deg): 136.63 136.63 63.01
Fractional coordinates of all 4 atoms:
Li (0.000, 0.000, 0.000)
Li (0.750, 0.250, 0.500)
Sb (0.500, 0.500, 0.000)
As (0.250, 0.750, 0.500)

Results
- Excess energy over the best structure of this formula in the dataset: 0.098 eV/atom
- Symmetry: I-4m2, No. 119

---

Record 16
Crystalline Li2SbAs2 at its relaxed geometry, computed with GGA-PBEsol.

a b c (Å): 7.975 7.975 2.908
angles (deg): 90.00 90.00 90.00
Fractional coordinates of all 10 atoms:
Li (0.119, 0.381, 0.000)
Li (0.381, 0.881, 0.000)
Li (0.619, 0.119, 0.000)
Li (0.881, 0.619, 0.000)
Sb (0.000, 0.000, 0.500)
Sb (0.500, 0.500, 0.500)
As (0.180, 0.680, 0.500)
As (0.320, 0.180, 0.500)
As (0.680, 0.820, 0.500)
As (0.820, 0.320, 0.500)

Results
- Excess energy over the best structure of this formula in the dataset: 0.000 eV/atom
- Symmetry: P4/mbm, No. 127

---

Record 17
Crystalline Li2SbAs2 at its relaxed geometry, computed with GGA-PBEsol.

a b c (Å): 5.963 5.963 5.963
angles (deg): 137.99 137.99 60.91
Fractional coordinates of all 5 atoms:
Li (0.250, 0.750, 0.500)
Li (0.750, 0.250, 0.500)
Sb (0.000, 0.000, 0.000)
As (0.385, 0.385, 0.000)
As (0.615, 0.615, 0.000)

Results
- Excess energy over the best structure of this formula in the dataset: 0.140 eV/atom
- Symmetry: I4/mmm, No. 139

---

Record 18
Crystalline Li2SbAs at its relaxed geometry, computed with GGA-PBEsol.

a b c (Å): 4.227 4.227 4.090
angles (deg): 90.00 90.00 90.00
Fractional coordinates of all 4 atoms:
Li (0.000, 0.500, 0.000)
Li (0.500, 0.000, 0.000)
Sb (0.000, 0.000, 0.500)
As (0.500, 0.500, 0.500)

Results
- Excess energy over the best structure of this formula in the dataset: 0.000 eV/atom
- Symmetry: P4/mmm, No. 123

---

Record 19
Crystalline Li2SbAs at its relaxed geometry, computed with GGA-PBEsol.

a b c (Å): 5.034 5.034 3.049
angles (deg): 90.00 90.00 107.50
Fractional coordinates of all 4 atoms:
Li (0.000, 0.500, 0.000)
Li (0.500, 0.000, 0.000)
Sb (0.000, 0.000, 0.500)
As (0.500, 0.500, 0.500)

Results
- Excess energy over the best structure of this formula in the dataset: 0.023 eV/atom
- Symmetry: Cmmm, No. 65

---

Record 20
Crystalline LiSb4As at its relaxed geometry, computed with GGA-PBEsol.

a b c (Å): 6.107 6.107 6.107
angles (deg): 60.00 60.00 60.00
Fractional coordinates of all 6 atoms:
Li (0.000, 0.000, 0.000)
Sb (0.127, 0.624, 0.624)
Sb (0.624, 0.127, 0.624)
Sb (0.624, 0.624, 0.127)
Sb (0.624, 0.624, 0.624)
As (0.250, 0.250, 0.250)

Results
- Final energy: -23.46 eV for the cell shown
- Symmetry: F-43m, No. 216

---

The records above yield density of states at the Fermi level values of 2.90; 1.04; 1.40; 1.39; 1.28; 3.30; 2.55; 4.13; 3.37; 1.91; 3.33; 4.01; 1.26; 1.29; 1.35; 2.10; 1.64; 0.99; 1.29; 4.04 states/eV/f.u., respectively.